# 1
Compound: TbPm3Ho7
Source: Alexandria
Functional: PBE-GGA
Structure: optimized geometry

Output
space group = P2/m (10)
ΔE_f = 0.147 eV/atom

The structure in CIF format:
```
data_TbPm3Ho7
_chemical_formula_sum 'Tb1 Pm3 Ho7'
_symmetry_space_group_name_H-M 'P 1'
_symmetry_Int_Tables_number 1
_symmetry_space_group_name_Hall 'P 1'
_cell_length_a 6.944
_cell_length_b 5.516
_cell_length_c 9.986
_cell_angle_alpha 90.00
_cell_angle_beta 109.82
_cell_angle_gamma 90.00
loop_
_atom_site_label
_atom_site_fract_x
_atom_site_fract_y
_atom_site_fract_z
Tb1 0.000 0.000 0.000
Pm1 0.218 0.500 0.502
Pm2 0.500 0.000 0.000
Pm3 0.782 0.500 0.498
Ho1 0.080 0.000 0.671
Ho2 0.179 0.500 0.862
Ho3 0.354 0.500 0.211
Ho4 0.500 0.000 0.500
Ho5 0.646 0.500 0.789
Ho6 0.821 0.500 0.138
Ho7 0.920 0.000 0.329
```

=====

# 2
Compound: TbPm4Ho7
Source: Alexandria
Functional: PBE-GGA
Structure: optimized geometry

Output
space group = C2/m (12)
ΔE_f = 0.271 eV/atom

The structure in CIF format:
```
data_TbPm4Ho7
_chemical_formula_sum 'Tb1 Pm4 Ho7'
_symmetry_space_group_name_H-M 'P 1'
_symmetry_Int_Tables_number 1
_symmetry_space_group_name_Hall 'P 1'
_cell_length_a 6.724
_cell_length_b 6.724
_cell_length_c 12.773
_cell_angle_alpha 115.13
_cell_angle_beta 115.13
_cell_angle_gamma 51.98
loop_
_atom_site_label
_atom_site_fract_x
_atom_site_fract_y
_atom_site_fract_z
Tb1 0.000 0.000 0.000
Pm1 0.226 0.226 0.669
Pm2 0.361 0.361 0.223
Pm3 0.639 0.639 0.777
Pm4 0.774 0.774 0.331
Ho1 0.068 0.068 0.313
Ho2 0.212 0.212 0.924
Ho3 0.368 0.368 0.505
Ho4 0.500 0.500 0.000
Ho5 0.632 0.632 0.495
Ho6 0.788 0.788 0.076
Ho7 0.932 0.932 0.687
```

=====

# 3
Compound: Tb6Pm5Ho2
Source: Alexandria
Functional: PBE-GGA
Structure: optimized geometry

Output
space group = Pbam (55)
ΔE_f = 0.093 eV/atom

The structure in CIF format:
```
data_Tb6Pm5Ho2
_chemical_formula_sum 'Tb12 Pm10 Ho4'
_symmetry_space_group_name_H-M 'P 1'
_symmetry_Int_Tables_number 1
_symmetry_space_group_name_Hall 'P 1'
_cell_length_a 11.673
_cell_length_b 20.566
_cell_length_c 3.601
_cell_angle_alpha 90.00
_cell_angle_beta 90.00
_cell_angle_gamma 90.00
loop_
_atom_site_label
_atom_site_fract_x
_atom_site_fract_y
_atom_site_fract_z
Tb1 0.061 0.081 0.000
Tb2 0.082 0.369 0.000
Tb3 0.174 0.638 0.500
Tb4 0.326 0.138 0.500
Tb5 0.418 0.869 0.000
Tb6 0.439 0.581 0.000
Tb7 0.561 0.419 0.000
Tb8 0.582 0.131 0.000
Tb9 0.674 0.862 0.500
Tb10 0.826 0.362 0.500
Tb11 0.918 0.631 0.000
Tb12 0.939 0.919 0.000
Pm1 0.000 0.500 0.500
Pm2 0.085 0.227 0.500
Pm3 0.198 0.949 0.500
Pm4 0.302 0.449 0.500
Pm5 0.415 0.727 0.500
Pm6 0.500 0.000 0.500
Pm7 0.585 0.273 0.500
Pm8 0.698 0.551 0.500
Pm9 0.802 0.051 0.500
Pm10 0.915 0.773 0.500
Ho1 0.170 0.790 0.000
Ho2 0.330 0.290 0.000
Ho3 0.670 0.710 0.000
Ho4 0.830 0.210 0.000
```

=====

# 4
Compound: Tb6Pm3Ho
Source: Alexandria
Functional: PBE-GGA
Structure: optimized geometry

Output
space group = C2/m (12)
ΔE_f = 0.226 eV/atom

The structure in CIF format:
```
data_Tb6Pm3Ho
_chemical_formula_sum 'Tb6 Pm3 Ho1'
_symmetry_space_group_name_H-M 'P 1'
_symmetry_Int_Tables_number 1
_symmetry_space_group_name_Hall 'P 1'
_cell_length_a 6.659
_cell_length_b 6.659
_cell_length_c 9.669
_cell_angle_alpha 111.00
_cell_angle_beta 111.00
_cell_angle_gamma 59.62
loop_
_atom_site_label
_atom_site_fract_x
_atom_site_fract_y
_atom_site_fract_z
Tb1 0.060 0.567 0.189
Tb2 0.137 0.137 0.421
Tb3 0.433 0.940 0.811
Tb4 0.567 0.060 0.189
Tb5 0.863 0.863 0.579
Tb6 0.940 0.433 0.811
Pm1 0.431 0.431 0.803
Pm2 0.500 0.500 0.500
Pm3 0.569 0.569 0.197
Ho1 0.000 0.000 0.000
```

=====

# 5
Compound: Tb2Pm5Ho2
Source: Alexandria
Functional: PBE-GGA
Structure: optimized geometry

Output
space group = C2/m (12)
ΔE_f = 0.016 eV/atom

The structure in CIF format:
```
data_Tb2Pm5Ho2
_chemical_formula_sum 'Tb2 Pm5 Ho2'
_symmetry_space_group_name_H-M 'P 1'
_symmetry_Int_Tables_number 1
_symmetry_space_group_name_Hall 'P 1'
_cell_length_a 6.246
_cell_length_b 6.246
_cell_length_c 10.798
_cell_angle_alpha 106.83
_cell_angle_beta 106.83
_cell_angle_gamma 48.14
loop_
_atom_site_label
_atom_site_fract_x
_atom_site_fract_y
_atom_site_fract_z
Tb1 0.000 0.000 0.167
Tb2 0.000 0.000 0.833
Pm1 0.000 0.000 0.500
Pm2 0.333 0.333 0.945
Pm3 0.334 0.334 0.612
Pm4 0.666 0.666 0.388
Pm5 0.667 0.667 0.055
Ho1 0.333 0.333 0.277
Ho2 0.667 0.667 0.723
```

=====

# 6
Compound: Tb2Pm3Ho7
Source: Alexandria
Functional: PBE-GGA
Structure: optimized geometry

Output
space group = P2/m (10)
ΔE_f = 0.086 eV/atom

The structure in CIF format:
```
data_Tb2Pm3Ho7
_chemical_formula_sum 'Tb2 Pm3 Ho7'
_symmetry_space_group_name_H-M 'P 1'
_symmetry_Int_Tables_number 1
_symmetry_space_group_name_Hall 'P 1'
_cell_length_a 5.815
_cell_length_b 3.562
_cell_length_c 18.745
_cell_angle_alpha 90.00
_cell_angle_beta 93.10
_cell_angle_gamma 90.00
loop_
_atom_site_label
_atom_site_fract_x
_atom_site_fract_y
_atom_site_fract_z
Tb1 0.209 0.000 0.293
Tb2 0.791 0.000 0.707
Pm1 0.000 0.000 0.000
Pm2 0.279 0.500 0.633
Pm3 0.721 0.500 0.367
Ho1 0.189 0.500 0.143
Ho2 0.243 0.000 0.462
Ho3 0.308 0.000 0.825
Ho4 0.500 0.500 0.000
Ho5 0.692 0.000 0.175
Ho6 0.757 0.000 0.538
Ho7 0.811 0.500 0.857
```

=====

# 7
Compound: Tb2Pm2Ho
Source: Alexandria
Functional: PBE-GGA
Structure: optimized geometry

Output
space group = C2/c (15)
ΔE_f = 0.070 eV/atom

The structure in CIF format:
```
data_Tb2Pm2Ho
_chemical_formula_sum 'Tb4 Pm4 Ho2'
_symmetry_space_group_name_H-M 'P 1'
_symmetry_Int_Tables_number 1
_symmetry_space_group_name_Hall 'P 1'
_cell_length_a 8.651
_cell_length_b 8.651
_cell_length_c 6.810
_cell_angle_alpha 101.18
_cell_angle_beta 101.18
_cell_angle_gamma 41.53
loop_
_atom_site_label
_atom_site_fract_x
_atom_site_fract_y
_atom_site_fract_z
Tb1 0.018 0.172 0.146
Tb2 0.172 0.018 0.646
Tb3 0.828 0.982 0.354
Tb4 0.982 0.828 0.854
Pm1 0.252 0.356 0.423
Pm2 0.356 0.252 0.923
Pm3 0.644 0.748 0.077
Pm4 0.748 0.644 0.577
Ho1 0.427 0.573 0.250
Ho2 0.573 0.427 0.750
```

=====

# 8
Compound: Tb2Pm5Ho12
Source: Alexandria
Functional: PBE-GGA
Structure: optimized geometry

Output
space group = P-1 (2)
ΔE_f = 0.019 eV/atom

The structure in CIF format:
```
data_Tb2Pm5Ho12
_chemical_formula_sum 'Tb2 Pm5 Ho12'
_symmetry_space_group_name_H-M 'P 1'
_symmetry_Int_Tables_number 1
_symmetry_space_group_name_Hall 'P 1'
_cell_length_a 7.953
_cell_length_b 8.710
_cell_length_c 9.426
_cell_angle_alpha 90.05
_cell_angle_beta 94.84
_cell_angle_gamma 111.24
loop_
_atom_site_label
_atom_site_fract_x
_atom_site_fract_y
_atom_site_fract_z
Tb1 0.079 0.026 0.183
Tb2 0.921 0.974 0.817
Pm1 0.238 0.079 0.552
Pm2 0.341 0.448 0.132
Pm3 0.500 0.500 0.500
Pm4 0.659 0.552 0.868
Pm5 0.762 0.921 0.448
Ho1 0.024 0.342 0.395
Ho2 0.133 0.711 0.973
Ho3 0.181 0.394 0.764
Ho4 0.288 0.763 0.341
Ho5 0.395 0.131 0.921
Ho6 0.446 0.816 0.713
Ho7 0.554 0.184 0.287
Ho8 0.605 0.869 0.079
Ho9 0.712 0.237 0.659
Ho10 0.819 0.606 0.236
Ho11 0.867 0.289 0.027
Ho12 0.976 0.658 0.605
```

=====

# 9
Compound: Tb4Pm5Ho2
Source: Alexandria
Functional: PBE-GGA
Structure: optimized geometry

Output
space group = C2/m (12)
ΔE_f = 0.074 eV/atom

The structure in CIF format:
```
data_Tb4Pm5Ho2
_chemical_formula_sum 'Tb4 Pm5 Ho2'
_symmetry_space_group_name_H-M 'P 1'
_symmetry_Int_Tables_number 1
_symmetry_space_group_name_Hall 'P 1'
_cell_length_a 9.015
_cell_length_b 9.015
_cell_length_c 11.632
_cell_angle_alpha 93.94
_cell_angle_beta 93.94
_cell_angle_gamma 22.72
loop_
_atom_site_label
_atom_site_fract_x
_atom_site_fract_y
_atom_site_fract_z
Tb1 0.036 0.036 0.260
Tb2 0.359 0.359 0.205
Tb3 0.641 0.641 0.795
Tb4 0.964 0.964 0.740
Pm1 0.097 0.097 0.536
Pm2 0.177 0.177 0.071
Pm3 0.500 0.500 0.000
Pm4 0.823 0.823 0.929
Pm5 0.903 0.903 0.464
Ho1 0.284 0.284 0.647
Ho2 0.716 0.716 0.353
```

=====

# 10
Compound: Tb5Pm8Ho
Source: Alexandria
Functional: PBE-GGA
Structure: optimized geometry

Output
space group = I-4 (82)
ΔE_f = 0.251 eV/atom

The structure in CIF format:
```
data_Tb5Pm8Ho
_chemical_formula_sum 'Tb5 Pm8 Ho1'
_symmetry_space_group_name_H-M 'P 1'
_symmetry_Int_Tables_number 1
_symmetry_space_group_name_Hall 'P 1'
_cell_length_a 8.554
_cell_length_b 8.554
_cell_length_c 8.554
_cell_angle_alpha 111.01
_cell_angle_beta 111.01
_cell_angle_gamma 106.43
loop_
_atom_site_label
_atom_site_fract_x
_atom_site_fract_y
_atom_site_fract_z
Tb1 0.000 0.000 0.000
Tb2 0.219 0.534 0.901
Tb3 0.466 0.368 0.686
Tb4 0.632 0.318 0.099
Tb5 0.682 0.781 0.314
Pm1 0.159 0.068 0.734
Pm2 0.333 0.425 0.266
Pm3 0.422 0.026 0.257
Pm4 0.575 0.841 0.908
Pm5 0.770 0.165 0.743
Pm6 0.835 0.578 0.605
Pm7 0.932 0.667 0.092
Pm8 0.974 0.230 0.395
Ho1 0.250 0.750 0.500
```

=====

# 11
Compound: Tb8Pm5Ho
Source: Alexandria
Functional: PBE-GGA
Structure: optimized geometry

Output
space group = I-4 (82)
ΔE_f = 0.244 eV/atom

The structure in CIF format:
```
data_Tb8Pm5Ho
_chemical_formula_sum 'Tb8 Pm5 Ho1'
_symmetry_space_group_name_H-M 'P 1'
_symmetry_Int_Tables_number 1
_symmetry_space_group_name_Hall 'P 1'
_cell_length_a 8.491
_cell_length_b 8.491
_cell_length_c 8.491
_cell_angle_alpha 110.83
_cell_angle_beta 110.83
_cell_angle_gamma 106.78
loop_
_atom_site_label
_atom_site_fract_x
_atom_site_fract_y
_atom_site_fract_z
Tb1 0.175 0.411 0.592
Tb2 0.330 0.226 0.245
Tb3 0.417 0.825 0.236
Tb4 0.589 0.181 0.764
Tb5 0.774 0.019 0.104
Tb6 0.819 0.583 0.408
Tb7 0.915 0.670 0.896
Tb8 0.981 0.085 0.755
Pm1 0.063 0.460 0.178
Pm2 0.115 0.937 0.397
Pm3 0.281 0.885 0.822
Pm4 0.540 0.719 0.603
Pm5 0.750 0.250 0.500
Ho1 0.500 0.500 0.000
```

=====

# 12
Compound: Tb3Pm4Ho4
Source: Alexandria
Functional: PBE-GGA
Structure: optimized geometry

Output
space group = Immm (71)
ΔE_f = 0.174 eV/atom

The structure in CIF format:
```
data_Tb3Pm4Ho4
_chemical_formula_sum 'Tb3 Pm4 Ho4'
_symmetry_space_group_name_H-M 'P 1'
_symmetry_Int_Tables_number 1
_symmetry_space_group_name_Hall 'P 1'
_cell_length_a 10.919
_cell_length_b 10.919
_cell_length_c 10.919
_cell_angle_alpha 161.33
_cell_angle_beta 117.64
_cell_angle_gamma 65.72
loop_
_atom_site_label
_atom_site_fract_x
_atom_site_fract_y
_atom_site_fract_z
Tb1 0.000 0.000 0.000
Tb2 0.392 0.892 0.500
Tb3 0.608 0.108 0.500
Pm1 0.213 0.213 0.000
Pm2 0.287 0.500 0.787
Pm3 0.713 0.500 0.213
Pm4 0.787 0.787 0.000
Ho1 0.077 0.328 0.749
Ho2 0.421 0.672 0.749
Ho3 0.579 0.328 0.251
Ho4 0.923 0.672 0.251
```